Cs5Sr3F12: relaxed, PBE-GGA.

Cell lengths 13.7057, 13.7057, 13.7057 Å; angles 109.47, 109.47, 109.47 degrees
Fractional coordinates of all 80 atoms:
F 0.1172 0.9454 0.3641
F 0.3283 0.7469 0.3828
F 0.6359 0.5546 0.8828
F 0.8641 0.6172 0.9454
F 0.6172 0.7531 0.6717
F 0.5814 0.2531 0.1359
F 0.3828 0.1359 0.5546
F 0.3828 0.2469 0.3283
F 0.6717 0.4186 0.5546
F 0.7531 0.6172 0.1717
F 0.5546 0.9186 0.6717
F 0.4186 0.6717 0.0546
F 0.7531 0.1359 0.0814
F 0.3283 0.5814 0.4454
F 0.1717 0.1172 0.7531
F 0.2531 0.5814 0.6359
F 0.1717 0.0546 0.9186
F 0.1359 0.7531 0.5814
F 0.9186 0.5546 0.1717
F 0.9454 0.8283 0.5814
F 0.0814 0.4454 0.8283
F 0.6717 0.2531 0.6172
F 0.4454 0.0814 0.3283
F 0.7469 0.3283 0.8828
F 0.8283 0.8828 0.2469
F 0.8828 0.8283 0.7469
F 0.4454 0.3641 0.6172
F 0.8641 0.2469 0.4186
F 0.5546 0.6359 0.3828
F 0.8828 0.0546 0.6359
F 0.6172 0.8641 0.4454
F 0.5814 0.3283 0.9454
F 0.0546 0.1717 0.4186
F 0.6359 0.0814 0.2531
F 0.9186 0.3641 0.2469
F 0.1359 0.3828 0.0546
F 0.4186 0.7469 0.8641
F 0.1172 0.1717 0.2531
F 0.2469 0.8641 0.9186
F 0.8283 0.9454 0.0814
F 0.0546 0.8828 0.1359
F 0.3641 0.9186 0.7469
F 0.7469 0.4186 0.3641
F 0.3641 0.4454 0.1172
F 0.0814 0.6359 0.7531
F 0.9454 0.1172 0.8641
F 0.2469 0.3828 0.8283
F 0.2531 0.6717 0.1172
Cs 0.6250 0.7500 0.8750
Cs 0.1250 0.7500 0.3750
Cs 0.5000 0.5000 0.0000
Cs 0.1250 0.3750 0.2500
Cs 0.2500 0.8750 0.1250
Cs 0.5000 0.0000 0.5000
Cs 0.3750 0.1250 0.7500
Cs 0.0000 0.5000 0.0000
Cs 0.2500 0.3750 0.6250
Cs 0.5000 0.0000 0.0000
Cs 0.0000 0.0000 0.0000
Cs 0.8750 0.6250 0.7500
Cs 0.0000 0.5000 0.5000
Cs 0.3750 0.2500 0.1250
Cs 0.7500 0.1250 0.8750
Cs 0.0000 0.0000 0.5000
Cs 0.8750 0.2500 0.6250
Cs 0.5000 0.5000 0.5000
Cs 0.6250 0.8750 0.2500
Cs 0.7500 0.6250 0.3750
Sr 0.1250 0.8750 0.7500
Sr 0.2500 0.1250 0.3750
Sr 0.7500 0.8750 0.6250
Sr 0.8750 0.7500 0.1250
Sr 0.6250 0.3750 0.7500
Sr 0.3750 0.7500 0.6250
Sr 0.2500 0.6250 0.8750
Sr 0.6250 0.2500 0.3750
Sr 0.8750 0.1250 0.2500
Sr 0.7500 0.3750 0.1250
Sr 0.3750 0.6250 0.2500
Sr 0.1250 0.2500 0.8750

Values from the calculation:
electronic total energy	-360.05	eV for the cell shown
formation energy from raw total energies	-2.9122	eV per atom
M_tot	1.20	μB/f.u.

***

NaZnS2N: relaxed, PBE-GGA.

Cell lengths 4.9341, 4.9341, 3.9145 Å; angles 90.00, 90.00, 90.00 degrees
Fractional coordinates of all 5 atoms:
N 0.0000 0.0000 0.5000
Na 0.5000 0.5000 0.5000
S 0.0000 0.5000 0.0000
S 0.5000 0.0000 0.0000
Zn 0.0000 0.0000 0.0000

Values from the calculation:
electronic total energy	-16.43	eV for the cell shown
formation energy from raw total energies	0.5481	eV per atom
energy relative to the lowest polymorph listed for this composition	0.0000	eV/atom
M_tot	3.14	μB/f.u.

***

CaTl5: relaxed, PBE-GGA.

Cell lengths 4.8842, 5.1227, 7.5449 Å; angles 109.85, 90.00, 90.00 degrees
Fractional coordinates of all 6 atoms:
Ca 0.0000 0.0000 0.0000
Tl 0.0000 0.3279 0.6559
Tl 0.5000 0.5000 0.0000
Tl 0.0000 0.6721 0.3441
Tl 0.5000 0.1690 0.3379
Tl 0.5000 0.8310 0.6621

Values from the calculation:
electronic total energy	-14.64	eV for the cell shown
energy relative to the lowest polymorph listed for this composition	0.0014	eV/atom
M_tot	0.00	μB/f.u.

***

Ti2ZnSi: relaxed, PBE-GGA.

Cell lengths 6.9802, 6.9802, 5.6165 Å; angles 51.58, 51.58, 90.00 degrees
Fractional coordinates of all 8 atoms:
Si 0.5000 0.5000 0.0000
Si 0.2500 0.7500 0.5000
Ti 0.1319 0.6250 0.2500
Ti 0.3750 0.3819 0.7500
Ti 0.8750 0.8681 0.7500
Ti 0.6181 0.1250 0.2500
Zn 0.0000 0.0000 0.0000
Zn 0.7500 0.2500 0.5000

Values from the calculation:
electronic total energy	-45.36	eV for the cell shown
formation energy from raw total energies	-0.0488	eV per atom
M_tot	0.00	μB/f.u.

***

LaCdCo: relaxed, PBE-GGA.

Cell lengths 4.5509, 4.5509, 3.9405 Å; angles 90.00, 90.00, 120.00 degrees
Fractional coordinates of all 3 atoms:
Co 0.3333 0.6667 0.1670
Cd 0.0000 0.0000 0.1666
La 0.6667 0.3333 0.6665

Values from the calculation:
electronic total energy	-12.84	eV for the cell shown
M_tot	0.42	μB/f.u.

***

NaTiIn2Tc: relaxed, PBE-GGA.

Cell lengths 5.1337, 5.0766, 5.1337 Å; angles 90.00, 90.00, 90.00 degrees
Fractional coordinates of all 5 atoms:
In 0.5000 0.0000 0.0000
In 0.0000 0.0000 0.5000
Na 0.0000 0.5000 0.0000
Ti 0.5000 0.5000 0.5000
Tc 0.0000 0.0000 0.0000

Values from the calculation:
electronic total energy	-19.47	eV for the cell shown
M_tot	0.91	μB/f.u.

***

SrCd4Sn: relaxed, PBE-GGA.

Cell lengths 6.0952, 6.0952, 6.0952 Å; angles 60.00, 60.00, 60.00 degrees
Fractional coordinates of all 6 atoms:
Cd 0.1240 0.6253 0.6253
Cd 0.6253 0.6253 0.1240
Cd 0.6253 0.6253 0.6253
Cd 0.6253 0.1240 0.6253
Sr 0.2500 0.2500 0.2500
Sn 0.0000 0.0000 0.0000

Values from the calculation:
electronic total energy	-10.45	eV for the cell shown
energy relative to the lowest polymorph listed for this composition	0.0000	eV/atom
M_tot	0.00	μB/f.u.

***

SrLi2O2: relaxed, PBE-GGA.

Cell lengths 3.4571, 3.3069, 5.5234 Å; angles 107.41, 90.00, 90.00 degrees
Fractional coordinates of all 5 atoms:
O 0.2000 0.3412 0.6826
O 0.7000 0.6332 0.2661
Sr 0.2000 0.0189 0.0382
Li 0.7000 0.2615 0.5228
Li 0.2000 0.7451 0.4902

Values from the calculation:
electronic total energy	-25.99	eV for the cell shown
formation energy from raw total energies	-2.1130	eV per atom
energy relative to the lowest polymorph listed for this composition	0.0000	eV/atom
M_tot	0.00	μB/f.u.